K4Pr3CrO8 | PBE+U | optimized geometry Values from VASP.

Values from the calculation:
Space-group type: R-3m
Electronic total energy: -102.448 eV per formula unit

The structure in Quantum ESPRESSO input format:
```
&SYSTEM
  ibrav = 0, nat = 16, ntyp = 4
/
ATOMIC_SPECIES
O 16.00 O.upf
Pr 140.91 Pr.upf
Cr 52.00 Cr.upf
K 39.10 K.upf
ATOMIC_POSITIONS angstrom
O 0.000 3.612 2.337
Pr 3.548 3.746 0.134
Pr 1.774 1.976 2.645
Cr 0.000 3.746 0.134
O 3.548 0.340 2.953
K 1.774 -1.770 2.511
O 5.470 2.257 0.233
K 0.000 0.000 0.000
O 3.548 3.575 2.519
K -1.774 -1.770 2.511
O 1.626 2.257 0.233
O 0.000 0.376 2.771
K 3.548 0.000 0.000
O -1.922 1.695 5.057
Pr -1.774 1.976 2.645
O 1.922 1.695 5.057
CELL_PARAMETERS angstrom
7.096 0.000 0.000
0.000 7.492 0.268
-3.548 -3.540 5.022
```